## La2Fe (GGA-PBE)

Data for a relaxed La2Fe crystal.

Space group: No. 227
Total energy (eV/atom): -4.689
M_tot (Bohr magnetons per cell): 0.1
ΔH_f (0 K) (eV per atom): 1.362

Cell lengths 6.083, 6.083, 6.083 Å; angles 60.00, 60.00, 60.00 degrees
Positions (direct):
Fe  0.000  0.000  0.000
La  0.125  0.625  0.625
La  0.625  0.625  0.625
La  0.625  0.125  0.625
Fe  0.250  0.250  0.250
La  0.625  0.625  0.125